Gd2TmIn3CuPt2 | PBE | optimized geometry

* magnetization: 0.00 μB/f.u.
* energy: -5.036 eV per atom
* symmetry: Amm2, No. 38

a = 3.749 Å, b = 7.741 Å, c = 7.741 Å
α = 119.84°, β = 90.00°, γ = 90.00°
Positions (direct):
Gd 0.000 0.205 0.795
Gd 0.000 0.795 0.205
Tm 0.000 0.615 0.615
In 0.500 0.207 0.461
In 0.500 0.461 0.207
In 0.500 0.949 0.949
Cu 0.000 0.206 0.206
Pt 0.500 0.540 0.868
Pt 0.500 0.868 0.540